1.
Computed, not measured: Li2ErPb7 after structural relaxation at the PBE-GGA level of DFT.

Lattice parameters (Å, degrees): 12.286 12.286 12.286 157.26 157.26 32.37
Fractional coordinates of all 10 atoms:
Li  0.179  0.179  0.000
Li  0.821  0.821  0.000
Er  0.500  0.500  0.000
Pb  0.000  0.000  0.000
Pb  0.104  0.604  0.500
Pb  0.250  0.750  0.500
Pb  0.396  0.896  0.500
Pb  0.604  0.104  0.500
Pb  0.750  0.250  0.500
Pb  0.896  0.396  0.500

Results
- Density: 9.79 Mg/m³
- Space-group type: I4/mmm (139)
- D(E_F): 0.386 states/eV/atom
- M_tot: 0.00 μB/cell
- Total DFT energy (no corrections): -35.81 eV for the cell shown



2.
Computed, not measured: LiFe after structural relaxation at the PBE-GGA level of DFT.

Lattice parameters (Å, degrees): 4.655 4.655 4.655 90.00 90.00 90.00
Fractional coordinates of all 8 atoms:
Li  0.097  0.097  0.097
Li  0.403  0.903  0.597
Li  0.597  0.403  0.903
Li  0.903  0.597  0.403
Fe  0.099  0.599  0.901
Fe  0.401  0.401  0.401
Fe  0.599  0.901  0.099
Fe  0.901  0.099  0.599

Results
- Density: 4.13 Mg/m³
- Space-group type: P2_13 (198)
- D(E_F): 0.586 states/eV/atom
- M_tot: 10.56 μB/cell
- Total DFT energy (no corrections): -37.26 eV for the cell shown



3.
Computed, not measured: LaEuCuAu after structural relaxation at the PBE-GGA level of DFT.

Lattice parameters (Å, degrees): 5.250 5.250 5.250 60.00 60.00 60.00
Fractional coordinates of all 4 atoms:
La  0.000  0.000  0.000
Eu  0.500  0.500  0.500
Cu  0.750  0.750  0.750
Au  0.250  0.250  0.250

Results
- Density: 8.95 Mg/m³
- Space-group type: F-43m (216)
- D(E_F): 2.131 states/eV/atom
- M_tot: 7.10 μB/cell
- Total DFT energy (no corrections): -24.41 eV for the cell shown



4.
Computed, not measured: Sn5HgSb4 after structural relaxation at the PBE-GGA level of DFT.

Lattice parameters (Å, degrees): 10.337 10.633 6.596 90.00 90.00 90.00
Fractional coordinates of all 20 atoms:
Sn  0.006  0.026  0.246
Sn  0.006  0.474  0.246
Sn  0.250  0.250  0.711
Sn  0.494  0.026  0.246
Sn  0.494  0.474  0.246
Sn  0.506  0.526  0.754
Sn  0.506  0.974  0.754
Sn  0.750  0.750  0.289
Sn  0.994  0.526  0.754
Sn  0.994  0.974  0.754
Hg  0.250  0.750  0.281
Hg  0.750  0.250  0.719
Sb  0.000  0.250  0.950
Sb  0.000  0.750  0.050
Sb  0.250  0.506  0.514
Sb  0.250  0.994  0.514
Sb  0.500  0.250  0.950
Sb  0.500  0.750  0.050
Sb  0.750  0.006  0.486
Sb  0.750  0.494  0.486

Results
- Density: 5.87 Mg/m³
- Space-group type: Pmmn (59)
- D(E_F): 0.452 states/eV/atom
- M_tot: 0.00 μB/cell
- Total DFT energy (no corrections): -70.49 eV for the cell shown



5.
Computed, not measured: La2Ho3Tm6Sc after structural relaxation at the PBE-GGA level of DFT.

Lattice parameters (Å, degrees): 6.096 6.096 11.666 94.99 94.99 120.00
Fractional coordinates of all 12 atoms:
La  0.166  0.834  0.000
La  0.834  0.166  0.000
Ho  0.000  0.000  0.500
Ho  0.334  0.666  0.500
Ho  0.666  0.334  0.500
Tm  0.086  0.416  0.747
Tm  0.254  0.254  0.253
Tm  0.416  0.086  0.747
Tm  0.584  0.914  0.253
Tm  0.746  0.746  0.747
Tm  0.914  0.584  0.253
Sc  0.500  0.500  0.000

Results
- Density: 8.22 Mg/m³
- Space-group type: C2/m (12)
- D(E_F): 1.370 states/eV/atom
- M_tot: 0.00 μB/cell
- Total DFT energy (no corrections): -56.35 eV for the cell shown



6.
Computed, not measured: UPb3 after structural relaxation at the PBE-GGA level of DFT.

Lattice parameters (Å, degrees): 6.647 6.647 6.647 151.00 62.12 126.37
Fractional coordinates of all 4 atoms:
U  0.000  0.000  0.000
Pb  0.435  0.689  0.746
Pb  0.508  0.008  0.500
Pb  0.942  0.689  0.254

Results
- Density: 12.56 Mg/m³
- Space-group type: Imm2 (44)
- D(E_F): 1.417 states/eV/atom
- M_tot: 3.07 μB/cell
- Total DFT energy (no corrections): -21.69 eV for the cell shown



7.
Computed, not measured: HgI3F after structural relaxation at the PBE-GGA level of DFT.

Lattice parameters (Å, degrees): 5.864 5.864 5.864 90.00 90.00 90.00
Fractional coordinates of all 5 atoms:
Hg  0.000  0.000  0.000
I  0.000  0.000  0.500
I  0.000  0.500  0.000
I  0.500  0.000  0.000
F  0.500  0.500  0.500

Results
- Density: 4.94 Mg/m³
- Space-group type: Pm-3m (221)
- D(E_F): 2.060 states/eV/atom
- M_tot: 1.83 μB/cell
- Total DFT energy (no corrections): -6.00 eV for the cell shown



8.
Computed, not measured: YPbBr2 after structural relaxation at the PBE-GGA level of DFT.

Lattice parameters (Å, degrees): 3.710 4.981 6.070 90.00 90.00 90.00
Fractional coordinates of all 4 atoms:
Y  0.000  0.000  0.000
Pb  0.500  0.000  0.500
Br  0.000  0.500  0.500
Br  0.500  0.500  0.000

Results
- Density: 6.75 Mg/m³
- Space-group type: Pmmm (47)
- D(E_F): 0.543 states/eV/atom
- M_tot: 0.00 μB/cell
- Total DFT energy (no corrections): -16.67 eV for the cell shown



9.
Computed, not measured: Li3Zn6Rh after structural relaxation at the PBE-GGA level of DFT.

Lattice parameters (Å, degrees): 6.720 6.720 4.342 108.78 108.78 60.18
Fractional coordinates of all 10 atoms:
Li  0.000  0.000  0.000
Li  0.375  0.375  0.876
Li  0.625  0.625  0.124
Zn  0.057  0.687  0.374
Zn  0.241  0.241  0.241
Zn  0.313  0.943  0.626
Zn  0.687  0.057  0.374
Zn  0.759  0.759  0.759
Zn  0.943  0.313  0.626
Rh  0.500  0.500  0.500

Results
- Density: 5.43 Mg/m³
- Space-group type: C2/m (12)
- D(E_F): 0.301 states/eV/atom
- M_tot: 0.00 μB/cell
- Total DFT energy (no corrections): -22.46 eV for the cell shown



10.
Computed, not measured: BaTl2PbBr6 after structural relaxation at the PBE-GGA level of DFT.

Lattice parameters (Å, degrees): 7.994 8.569 14.020 90.00 123.83 90.00
Fractional coordinates of all 20 atoms:
Ba  0.000  0.000  0.000
Ba  0.000  0.500  0.500
Tl  0.286  0.080  0.756
Tl  0.286  0.420  0.256
Tl  0.714  0.580  0.744
Tl  0.714  0.920  0.244
Pb  0.500  0.000  0.500
Pb  0.500  0.500  0.000
Br  0.117  0.052  0.260
Br  0.117  0.448  0.760
Br  0.262  0.683  0.072
Br  0.262  0.817  0.572
Br  0.398  0.195  0.069
Br  0.398  0.305  0.569
Br  0.602  0.695  0.431
Br  0.602  0.805  0.931
Br  0.738  0.183  0.428
Br  0.738  0.317  0.928
Br  0.883  0.552  0.240
Br  0.883  0.948  0.740

Results
- Density: 5.13 Mg/m³
- Space-group type: P2_1/c (14)
- D(E_F): 0.000 states/eV/atom
- M_tot: 0.00 μB/cell
- Total DFT energy (no corrections): -66.06 eV for the cell shown



11.
Computed, not measured: LaZn2Au after structural relaxation at the PBE-GGA level of DFT.

Lattice parameters (Å, degrees): 3.466 3.488 7.004 90.00 90.00 90.00
Fractional coordinates of all 4 atoms:
La  0.000  0.000  0.000
Zn  0.000  0.000  0.495
Zn  0.500  0.500  0.309
Au  0.500  0.500  0.706

Results
- Density: 9.15 Mg/m³
- Space-group type: Pmm2 (25)
- D(E_F): 0.824 states/eV/atom
- M_tot: 0.00 μB/cell
- Total DFT energy (no corrections): -11.99 eV for the cell shown



12.
Computed, not measured: PrEuAg after structural relaxation at the PBE-GGA level of DFT.

Lattice parameters (Å, degrees): 7.065 7.065 7.065 148.72 148.72 44.82
Fractional coordinates of all 3 atoms:
Pr  0.000  0.000  0.000
Eu  0.717  0.717  0.000
Ag  0.365  0.365  0.000

Results
- Density: 7.02 Mg/m³
- Space-group type: I4mm (107)
- D(E_F): 1.464 states/eV/atom
- M_tot: 7.75 μB/cell
- Total DFT energy (no corrections): -18.33 eV for the cell shown